Below is a relaxed structure of NaCuGe, with properties calculated at the PBE-GGA level.

Output
uncorrected energy	-3.00	eV/atom
space-group type	F-43m (216)

a = 4.366 Å, b = 4.366 Å, c = 4.366 Å
α = 60.00°, β = 60.00°, γ = 60.00°
Sites, in units of the cell vectors:
1 Cu 0.000 0.000 0.000
2 Ge 0.250 0.250 0.250
3 Na 0.750 0.750 0.750

Below is a relaxed structure of NaCuGe, with properties calculated at the PBE-GGA level.

Output
uncorrected energy	-2.51	eV/atom
space-group type	F-43m (216)

a = 4.479 Å, b = 4.479 Å, c = 4.479 Å
α = 60.00°, β = 60.00°, γ = 60.00°
Sites, in units of the cell vectors:
1 Cu 0.250 0.250 0.250
2 Na 0.000 0.000 0.000
3 Ge 0.750 0.750 0.750

Below is a relaxed structure of Na4CuNiGe2, with properties calculated at the PBE-GGA level.

Output
uncorrected energy	-2.85	eV/atom
space-group type	P-4m2 (115)

a = 4.648 Å, b = 4.648 Å, c = 6.584 Å
α = 90.00°, β = 90.00°, γ = 90.00°
Sites, in units of the cell vectors:
1 Cu 0.000 0.000 0.000
2 Ge 0.500 0.000 0.264
3 Ge 0.000 0.500 0.736
4 Na 0.000 0.500 0.250
5 Na 0.500 0.000 0.750
6 Na 0.000 0.000 0.500
7 Na 0.500 0.500 0.000
8 Ni 0.500 0.500 0.500

Below is a relaxed structure of Na4CuGePd2, with properties calculated at the PBE-GGA level.

Output
uncorrected energy	-3.04	eV/atom
space-group type	P-4m2 (115)

a = 4.749 Å, b = 4.749 Å, c = 6.530 Å
α = 90.00°, β = 90.00°, γ = 90.00°
Sites, in units of the cell vectors:
1 Na 0.000 0.000 0.000
2 Na 0.500 0.500 0.500
3 Na 0.000 0.500 0.263
4 Na 0.500 0.000 0.737
5 Ge 0.500 0.500 0.000
6 Pd 0.500 0.000 0.222
7 Pd 0.000 0.500 0.778
8 Cu 0.000 0.000 0.500

Below is a relaxed structure of NaCuGeSe2S, with properties calculated at the PBE-GGA level.

Output
uncorrected energy	-3.83	eV/atom
space-group type	Cmcm (63)

a = 6.845 Å, b = 6.845 Å, c = 10.125 Å
α = 90.00°, β = 90.00°, γ = 148.82°
Sites, in units of the cell vectors:
1 Se 0.639 0.361 0.459
2 Se 0.361 0.639 0.541
3 Se 0.639 0.361 0.041
4 Se 0.361 0.639 0.959
5 Cu 0.551 0.449 0.250
6 Cu 0.449 0.551 0.750
7 Ge 0.000 0.000 0.500
8 Ge 0.000 0.000 0.000
9 Na 0.731 0.269 0.750
10 Na 0.269 0.731 0.250
11 S 0.946 0.054 0.250
12 S 0.054 0.946 0.750

Below is a relaxed structure of NaCuGeTeS2, with properties calculated at the PBE-GGA level.

Output
uncorrected energy	-3.82	eV/atom
space-group type	Cmcm (63)

a = 7.369 Å, b = 7.369 Å, c = 10.582 Å
α = 90.00°, β = 90.00°, γ = 152.37°
Sites, in units of the cell vectors:
1 Ge 0.000 0.000 0.500
2 Ge 0.000 0.000 0.000
3 Te 0.921 0.079 0.250
4 Te 0.079 0.921 0.750
5 S 0.618 0.382 0.445
6 S 0.382 0.618 0.945
7 S 0.382 0.618 0.555
8 S 0.618 0.382 0.055
9 Na 0.232 0.768 0.250
10 Na 0.768 0.232 0.750
11 Cu 0.565 0.435 0.250
12 Cu 0.435 0.565 0.750

Below is a relaxed structure of NaCu3GeSe4, with properties calculated at the PBE-GGA level.

Output
uncorrected energy	-3.74	eV/atom
space-group type	P2_1/m (11)

a = 5.647 Å, b = 7.580 Å, c = 9.942 Å
α = 90.00°, β = 105.18°, γ = 90.00°
Sites, in units of the cell vectors:
1 Na 0.300 0.750 0.092
2 Na 0.700 0.250 0.908
3 Ge 0.385 0.750 0.728
4 Ge 0.615 0.250 0.272
5 Se 0.142 0.019 0.722
6 Se 0.142 0.481 0.722
7 Se 0.709 0.750 0.938
8 Se 0.555 0.250 0.509
9 Se 0.291 0.250 0.062
10 Se 0.858 0.981 0.278
11 Se 0.858 0.519 0.278
12 Se 0.445 0.750 0.491
13 Cu 0.802 0.938 0.523
14 Cu 0.105 0.250 0.254
15 Cu 0.895 0.750 0.746
16 Cu 0.198 0.062 0.477
17 Cu 0.198 0.438 0.477
18 Cu 0.802 0.562 0.523

Below is a relaxed structure of NaCuGeTe2Se, with properties calculated at the PBE-GGA level.

Output
uncorrected energy	-3.51	eV/atom
space-group type	Cmcm (63)

a = 6.776 Å, b = 6.776 Å, c = 11.071 Å
α = 90.00°, β = 90.00°, γ = 144.82°
Sites, in units of the cell vectors:
1 Cu 0.060 0.940 0.250
2 Cu 0.940 0.060 0.750
3 Ge 0.500 0.500 0.000
4 Ge 0.500 0.500 0.500
5 Na 0.223 0.777 0.750
6 Na 0.777 0.223 0.250
7 Te 0.845 0.155 0.539
8 Te 0.155 0.845 0.039
9 Te 0.845 0.155 0.961
10 Te 0.155 0.845 0.461
11 Se 0.458 0.542 0.250
12 Se 0.542 0.458 0.750